BeNbSn2Os: optimized geometry, PBE.

Properties
Energy of formation from the pure elements   0.75 eV/atom
Total DFT energy (no corrections)   -29.28 eV for the cell shown

a b c (Å): 4.7338 4.0455 4.7338
angles (deg): 90.00 90.00 90.00
Closest atoms and distances in Å follow each position.
Sites, in units of the cell vectors:
Sn (0.5000, 0.0000, 0.0000)  2 Be 2.37
Be (0.0000, 0.0000, 0.0000)  2 Os 2.02
Sn (0.0000, 0.0000, 0.5000)  2 Be 2.37
Nb (0.5000, 0.5000, 0.5000)  8 Sn 3.11, 4 Os 3.35
Os (0.0000, 0.5000, 0.0000)  2 Be 2.02

***

Ta2Be2NbOs5: optimized geometry, PBE.

Properties
Energy of formation from the pure elements   -0.33 eV/atom
Total DFT energy (no corrections)   -201.26 eV for the cell shown

a b c (Å): 3.1689 9.4470 9.4470
angles (deg): 90.00 90.00 90.00
Closest atoms and distances in Å follow each position.
Sites, in units of the cell vectors:
Ta (0.0000, 0.1750, 0.3250)  3 Be 2.73-2.84, 10 Os 2.82-3.02
Os (0.5000, 0.2875, 0.5733)  2 Be 2.28
Os (0.5000, 0.5733, 0.7125)  2 Be 2.28
Os (0.5000, 0.0000, 0.5000)  4 Be 2.26
Os (0.5000, 0.5000, 0.0000)  4 Be 2.26
Os (0.5000, 0.7125, 0.4267)  2 Be 2.28
Os (0.5000, 0.4267, 0.2875)  2 Be 2.28
Be (0.0000, 0.8790, 0.3790)  6 Os 2.26-2.28
Be (0.0000, 0.6210, 0.8790)  6 Os 2.26-2.28
Ta (0.0000, 0.3250, 0.8250)  3 Be 2.73-2.84, 10 Os 2.82-3.02
Be (0.0000, 0.1210, 0.6210)  6 Os 2.26-2.28
Ta (0.0000, 0.6750, 0.1750)  3 Be 2.73-2.84, 10 Os 2.82-3.02
Os (0.5000, 0.2125, 0.0733)  2 Be 2.28
Nb (0.0000, 0.5000, 0.5000)  8 Os 2.65
Os (0.5000, 0.7875, 0.9267)  2 Be 2.28
Be (0.0000, 0.3790, 0.1210)  6 Os 2.26-2.28
Ta (0.0000, 0.8250, 0.6750)  3 Be 2.73-2.84, 10 Os 2.82-3.02
Os (0.5000, 0.0733, 0.7875)  2 Be 2.28
Nb (0.0000, 0.0000, 0.0000)  8 Os 2.65
Os (0.5000, 0.9267, 0.2125)  2 Be 2.28

***

TaBeNb2Os: optimized geometry, PBE.

Properties
Energy of formation from the pure elements   1.88 eV/atom
Total DFT energy (no corrections)   -37.56 eV for the cell shown

a b c (Å): 4.8224 4.2619 4.8224
angles (deg): 90.00 90.00 90.00
Closest atoms and distances in Å follow each position.
Sites, in units of the cell vectors:
Be (0.0000, 0.5000, 0.0000)  2 Ta 2.13
Os (0.5000, 0.5000, 0.5000)  8 Nb 3.22, 4 Be 3.41
Nb (0.5000, 0.0000, 0.0000)  2 Ta 2.41
Nb (0.0000, 0.0000, 0.5000)  2 Ta 2.41
Ta (0.0000, 0.0000, 0.0000)  2 Be 2.13

***

TaBe2Nb2Os5: optimized geometry, PBE.

Properties
Energy of formation from the pure elements   -0.32 eV/atom
Total DFT energy (no corrections)   -197.54 eV for the cell shown

a b c (Å): 3.1631 9.4737 9.4737
angles (deg): 90.00 90.00 90.00
Closest atoms and distances in Å follow each position.
Sites, in units of the cell vectors:
Os (0.5000, 0.7876, 0.9274)  2 Be 2.28
Os (0.5000, 0.5000, 0.0000)  4 Be 2.27
Os (0.5000, 0.7124, 0.4274)  2 Be 2.28
Nb (0.0000, 0.8255, 0.6745)  3 Be 2.74-2.85, 10 Os 2.82-3.02
Os (0.5000, 0.5726, 0.7124)  2 Be 2.28
Os (0.5000, 0.0000, 0.5000)  4 Be 2.27
Os (0.5000, 0.0726, 0.7876)  2 Be 2.28
Be (0.0000, 0.3789, 0.1211)  6 Os 2.27-2.28
Be (0.0000, 0.1211, 0.6211)  6 Os 2.27-2.28
Ta (0.0000, 0.5000, 0.5000)  8 Os 2.65
Be (0.0000, 0.6211, 0.8789)  6 Os 2.27-2.28
Os (0.5000, 0.2876, 0.5726)  2 Be 2.28
Os (0.5000, 0.9274, 0.2124)  2 Be 2.28
Ta (0.0000, 0.0000, 0.0000)  8 Os 2.65
Os (0.5000, 0.4274, 0.2876)  2 Be 2.28
Os (0.5000, 0.2124, 0.0726)  2 Be 2.28
Be (0.0000, 0.8789, 0.3789)  6 Os 2.27-2.28
Nb (0.0000, 0.6745, 0.1745)  3 Be 2.74-2.85, 10 Os 2.82-3.02
Nb (0.0000, 0.3255, 0.8255)  3 Be 2.74-2.85, 10 Os 2.82-3.02
Nb (0.0000, 0.1745, 0.3255)  3 Be 2.74-2.85, 10 Os 2.82-3.02

***

Be3NbP: optimized geometry, PBE.

Properties
Energy of formation from the pure elements   1.76 eV/atom
Energy relative to the lowest polymorph listed for this composition   1033 meV per atom
Total DFT energy (no corrections)   -17.88 eV for the cell shown

a b c (Å): 4.4240 4.4240 4.4240
angles (deg): 90.00 90.00 90.00
Closest atoms and distances in Å follow each position.
Sites, in units of the cell vectors:
Nb (0.0000, 0.0000, 0.0000)  6 Be 2.21
Be (0.5000, 0.0000, 0.0000)  2 Nb 2.21
Be (0.0000, 0.5000, 0.0000)  2 Nb 2.21
Be (0.0000, 0.0000, 0.5000)  2 Nb 2.21
P (0.5000, 0.5000, 0.5000)  12 Be 3.13

***

BeNb3P: optimized geometry, PBE.

Properties
Energy of formation from the pure elements   0.53 eV/atom
Energy relative to the lowest polymorph listed for this composition   1040 meV per atom
Total DFT energy (no corrections)   -36.70 eV for the cell shown

a b c (Å): 4.3553 4.3553 4.3553
angles (deg): 90.00 90.00 90.00
Closest atoms and distances in Å follow each position.
Sites, in units of the cell vectors:
Be (0.0000, 0.0000, 0.0000)  6 Nb 2.18
P (0.5000, 0.5000, 0.5000)  12 Nb 3.08
Nb (0.5000, 0.0000, 0.0000)  2 Be 2.18
Nb (0.0000, 0.0000, 0.5000)  2 Be 2.18
Nb (0.0000, 0.5000, 0.0000)  2 Be 2.18

***

BeNb2P2: optimized geometry, PBE.

Properties
Energy of formation from the pure elements   -0.44 eV/atom
Total DFT energy (no corrections)   -73.81 eV for the cell shown

a b c (Å): 6.5524 6.5524 3.3415
angles (deg): 90.00 90.00 90.00
Closest atoms and distances in Å follow each position.
Sites, in units of the cell vectors:
Nb (0.3421, 0.1579, 0.5000)  6 P 2.49-2.58
Nb (0.6579, 0.8421, 0.5000)  6 P 2.49-2.58
Be (0.5000, 0.5000, 0.0000)  4 P 2.52
P (0.8573, 0.6427, 0.0000)  6 Nb 2.49-2.58, 2 Be 2.52, 1 P 2.64
Nb (0.8421, 0.3421, 0.5000)  6 P 2.49-2.58
P (0.3573, 0.8573, 0.0000)  6 Nb 2.49-2.58, 2 Be 2.52, 1 P 2.64
Nb (0.1579, 0.6579, 0.5000)  6 P 2.49-2.58
P (0.1427, 0.3573, 0.0000)  6 Nb 2.49-2.58, 2 Be 2.52, 1 P 2.64
P (0.6427, 0.1427, 0.0000)  6 Nb 2.49-2.58, 2 Be 2.52, 1 P 2.64
Be (0.0000, 0.0000, 0.0000)  4 P 2.52

***

Be3NbP: optimized geometry, PBE.

Properties
Energy of formation from the pure elements   0.72 eV/atom
Energy relative to the lowest polymorph listed for this composition   0 meV per atom
Total DFT energy (no corrections)   -23.05 eV for the cell shown

a b c (Å): 4.0137 4.0137 4.0137
angles (deg): 90.00 90.00 90.00
Closest atoms and distances in Å follow each position.
Sites, in units of the cell vectors:
Be (0.0000, 0.5000, 0.0000)  2 P 2.01
Be (0.0000, 0.0000, 0.5000)  2 P 2.01
P (0.0000, 0.0000, 0.0000)  6 Be 2.01
Nb (0.5000, 0.5000, 0.5000)  12 Be 2.84
Be (0.5000, 0.0000, 0.0000)  2 P 2.01

***

> energy of formation from the pure elements of number 1 (BeNbSn2Os)?

0.75 eV/atom